A plane-wave DFT calculation with GGA-PBEsol was carried out for a relaxed structure of Ag3SbO4.

Cell and atoms, written as POSCAR:
```
Ag3SbO4
1.0
7.139 0.000 0.000
0.000 7.139 0.000
0.000 0.000 8.629
Ag Sb O
12 4 16
direct
0.741 0.000 0.750
0.259 0.000 0.250
0.000 0.259 0.500
0.000 0.741 0.000
0.172 0.000 0.750
0.828 0.000 0.250
0.000 0.828 0.500
0.000 0.172 0.000
0.798 0.500 0.750
0.202 0.500 0.250
0.500 0.202 0.500
0.500 0.798 0.000
0.276 0.500 0.750
0.724 0.500 0.250
0.500 0.724 0.500
0.500 0.276 0.000
0.482 0.698 0.734
0.518 0.302 0.234
0.698 0.518 0.484
0.302 0.482 0.984
0.482 0.302 0.766
0.518 0.698 0.266
0.302 0.518 0.516
0.698 0.482 0.016
0.081 0.303 0.735
0.919 0.697 0.235
0.303 0.919 0.485
0.697 0.081 0.985
0.081 0.697 0.765
0.919 0.303 0.265
0.697 0.919 0.515
0.303 0.081 0.015
```

Final energy: -5.07 eV per atom
E_form (uncorrected): -0.63 eV/atom

A plane-wave DFT calculation with GGA-PBEsol was carried out for a relaxed structure of NiPdN2.

Cell and atoms, written as POSCAR:
```
NiPdN2
1.0
3.708 0.000 0.000
1.854 3.211 0.000
1.854 1.070 3.028
Ni Pd N
1 1 2
direct
0.000 0.000 0.000
0.500 0.500 0.500
0.250 0.250 0.250
0.750 0.750 0.750
```

Final energy: -6.10 eV per atom
E_form (uncorrected): 1.19 eV/atom
Energy relative to the lowest polymorph listed for this composition: 757 meV per atom

Question: Which value of final energy does entry 2 give?
Answer: -6.10 eV per atom

What did the first record say?
A plane-wave DFT calculation with GGA-PBEsol was carried out for a relaxed structure of Ag3SbO4.

Cell and atoms, written as POSCAR:
```
Ag3SbO4
1.0
7.139 0.000 0.000
0.000 7.139 0.000
0.000 0.000 8.629
Ag Sb O
12 4 16
direct
0.741 0.000 0.750
0.259 0.000 0.250
0.000 0.259 0.500
0.000 0.741 0.000
0.172 0.000 0.750
0.828 0.000 0.250
0.000 0.828 0.500
0.000 0.172 0.000
0.798 0.500 0.750
0.202 0.500 0.250
0.500 0.202 0.500
0.500 0.798 0.000
0.276 0.500 0.750
0.724 0.500 0.250
0.500 0.724 0.500
0.500 0.276 0.000
0.482 0.698 0.734
0.518 0.302 0.234
0.698 0.518 0.484
0.302 0.482 0.984
0.482 0.302 0.766
0.518 0.698 0.266
0.302 0.518 0.516
0.698 0.482 0.016
0.081 0.303 0.735
0.919 0.697 0.235
0.303 0.919 0.485
0.697 0.081 0.985
0.081 0.697 0.765
0.919 0.303 0.265
0.697 0.919 0.515
0.303 0.081 0.015
```

Final energy: -5.07 eV per atom
E_form (uncorrected): -0.63 eV/atom

Question: Which value of E_form (uncorrected) does entry 1 give?
Answer: -0.63 eV/atom